No. 1
Be2Os3 GGA-PBE relaxed; calculated density = 15.8 g/cm3; N(E_F) = 3.21 states/eV/f.u.; calculated volume = 12.38 Å³ per atom; ΔE to the lowest computed polymorph = 0.0275 eV/atom; spin magnetization = 0.00 Bohr magnetons per cell
1.0
0.000 5.518 2.307
4.862 0.000 2.307
4.862 5.518 0.000
Be Os
4 6
Direct
0.266 0.734 0.323
0.573 0.927 0.516
0.734 0.266 0.677
0.927 0.573 0.984
0.159 0.799 0.041
0.209 0.249 0.091
0.249 0.209 0.451
0.497 0.497 0.503
0.747 0.747 0.753
0.799 0.159 0.001

***

No. 2
Be2Os GGA-PBE relaxed; calculated density = 11.3 g/cm3; N(E_F) = 0.97 states/eV/f.u.; calculated volume = 10.24 Å³ per atom; ΔE to the lowest computed polymorph = 0.0653 eV/atom; spin magnetization = 0.00 Bohr magnetons per cell
1.0
5.248 0.000 0.000
0.000 2.967 0.000
0.000 0.000 7.893
Be Os
8 4
Direct
0.111 0.250 0.079
0.136 0.250 0.722
0.364 0.750 0.222
0.389 0.750 0.579
0.611 0.250 0.421
0.636 0.250 0.778
0.864 0.750 0.278
0.889 0.750 0.921
0.150 0.250 0.399
0.350 0.750 0.899
0.650 0.250 0.101
0.850 0.750 0.601

***

No. 3
BeOs3 GGA-PBE relaxed; calculated density = 18.0 g/cm3; N(E_F) = 3.71 states/eV/f.u.; calculated volume = 13.41 Å³ per atom; ΔE to the lowest computed polymorph = 0.3755 eV/atom; spin magnetization = 0.00 Bohr magnetons per cell
1.0
0.000 2.993 2.993
2.993 0.000 2.993
2.993 2.993 0.000
Be Os
1 3
Direct
0.000 0.000 0.000
0.250 0.250 0.250
0.500 0.500 0.500
0.750 0.750 0.750

***

No. 4
Be2Os GGA-PBE relaxed; calculated density = 10.1 g/cm3; N(E_F) = 0.75 states/eV/f.u.; calculated volume = 11.45 Å³ per atom; ΔE to the lowest computed polymorph = 0.4905 eV/atom; spin magnetization = 0.00 Bohr magnetons per cell
1.0
2.660 0.000 0.000
-1.330 2.304 0.000
0.000 0.000 5.606
Be Os
2 1
Direct
0.333 0.667 0.334
0.667 0.333 0.666
0.000 0.000 0.000

***

No. 5
BeOs3 GGA-PBE relaxed; calculated density = 18.0 g/cm3; N(E_F) = 4.11 states/eV/f.u.; calculated volume = 13.36 Å³ per atom; ΔE to the lowest computed polymorph = 0.2873 eV/atom; spin magnetization = 0.00 Bohr magnetons per cell
1.0
-1.848 1.848 3.912
1.848 -1.848 3.912
1.848 1.848 -3.912
Be Os
1 3
Direct
0.000 0.000 0.000
0.250 0.750 0.500
0.500 0.500 0.000
0.750 0.250 0.500

***

No. 6
Be2Os GGA-PBE relaxed; calculated density = 11.3 g/cm3; N(E_F) = 0.41 states/eV/f.u.; calculated volume = 10.18 Å³ per atom; ΔE to the lowest computed polymorph = 0.0476 eV/atom; spin magnetization = 0.00 Bohr magnetons per cell
1.0
1.626 -6.139 0.000
1.626 6.139 0.000
0.000 0.000 3.059
Be Os
4 2
Direct
0.063 0.937 0.750
0.244 0.756 0.250
0.756 0.244 0.750
0.937 0.063 0.250
0.401 0.599 0.750
0.599 0.401 0.250